Entry 1:
! MgCuRe2 (PBE, optimized geometry); values from VASP
! **Space group**: Cm
&SYSTEM
  ibrav = 0, nat = 4, ntyp = 3
/
ATOMIC_SPECIES
Cu 63.55 Cu.upf
Re 186.21 Re.upf
Mg 24.30 Mg.upf
ATOMIC_POSITIONS crystal
Cu 0.506 0.506 0.522
Re 0.996 0.996 0.031
Re 0.243 0.243 0.225
Mg 0.754 0.754 0.722
CELL_PARAMETERS angstrom
-3.998 0.102 -2.389
-2.859 -2.323 -2.852
-2.836 -2.011 3.564

***

Entry 2:
! Mg2CuRe (PBE, optimized geometry); values from VASP
! **Energy relative to the lowest polymorph listed for this composition**: 237 meV/atom
! **Space group**: I4/mmm
&SYSTEM
  ibrav = 0, nat = 4, ntyp = 3
/
ATOMIC_SPECIES
Cu 63.55 Cu.upf
Mg 24.30 Mg.upf
Re 186.21 Re.upf
ATOMIC_POSITIONS crystal
Cu 0.750 0.250 0.500
Mg 0.500 0.500 0.000
Mg 0.000 0.000 0.000
Re 0.250 0.750 0.500
CELL_PARAMETERS angstrom
-1.930 4.269 -1.380
-1.642 -0.273 -4.591
-0.703 -2.819 3.925

***

Entry 3:
! MgCuRe2 (PBE, optimized geometry); values from VASP
! **Space group**: P4mm
&SYSTEM
  ibrav = 0, nat = 4, ntyp = 3
/
ATOMIC_SPECIES
Re 186.21 Re.upf
Mg 24.30 Mg.upf
Cu 63.55 Cu.upf
ATOMIC_POSITIONS crystal
Re 0.000 0.000 0.031
Re 0.500 0.500 0.240
Mg 0.500 0.500 0.734
Cu 0.000 0.000 0.495
CELL_PARAMETERS angstrom
-0.693 -1.543 -2.573
-0.368 -2.578 1.644
-6.262 1.425 0.833

***

Which E belongs to each record? In order, -7.387, -4.530, -7.481 eV per atom.
Which volume belongs to each record? In order, 14.98, 15.55, 15.35 A^3/atom.
Which DFT formation energy belongs to each record? In order, 260, 403, 165 meV/atom.